Entry 1:
Here is LiErNb4N8 after structural relaxation from Alexandria via LeMat-Bulk. Energies are from PBE.

Results
Its volume is 181.2 Å³/f.u. As for the total DFT energy (no corrections): -8.93 eV/atom. The formation energy without anion corrections is -1129 kJ/mol of formula units.

a b c (Å): 6.3472 6.3472 15.5804
angles (deg): 90.00 90.00 120.00
With the nearest neighbours (Å) after each atom.
Space group R3m (No. 160, hexagonal axes)
One atom of each set of equivalent atoms:
Li  0.0000  0.0000  0.0000 (multiplicity 3)  6 N 2.22-2.31
Er  0.0000  0.0000  0.6188 (multiplicity 3)  4 N 2.19-2.20
Nb  0.0000  0.0000  0.3757 (multiplicity 3)  4 N 1.95-2.12
Nb  0.0112  0.5056  0.5026 (multiplicity 9)  4 N 1.99-2.19
N  0.0000  0.0000  0.2393 (multiplicity 3)  4 Nb 2.12-2.19
N  0.0000  0.0000  0.7602 (multiplicity 3)  3 Nb 2.13, 1 Er 2.20
N  0.1684  0.3369  0.0891 (multiplicity 9)  1 Nb 1.95
N  0.1861  0.3723  0.5695 (multiplicity 9)  2 Nb 1.99, 1 Er 2.19, 1 Li 2.22

Entry 2:
Here is GeSb2H after structural relaxation from Alexandria via LeMat-Bulk. Energies are from PBE.

Results
Its density of states at the Fermi level is 7.5 states/eV per cell. Its volume is 79.4 Å³/f.u. As for the total DFT energy (no corrections): -3.51 eV/atom.

a b c (Å): 6.8239 6.8239 6.8239
angles (deg): 90.00 90.00 90.00
With the nearest neighbours (Å) after each atom.
Space group Fm-3m (No. 225)
One atom of each set of equivalent atoms:
Ge  0.0000  0.0000  0.0000 (multiplicity 4)  8 Sb 2.95
Sb  0.2500  0.2500  0.2500 (multiplicity 8)  4 Ge 2.95, 4 H 2.95
H  0.0000  0.0000  0.5000 (multiplicity 4)  8 Sb 2.95

Entry 3:
Here is LaHfZnAs3 after structural relaxation from Alexandria via LeMat-Bulk. Energies are from PBE.

Results
Its density of states at the Fermi level is 1.6 states/eV per cell. Its volume is 138.5 Å³/f.u. The formation energy comes out at -5.6 eV per formula unit. As for the total DFT energy (no corrections): -5.95 eV/atom.

a b c (Å): 8.0356 3.9879 8.9624
angles (deg): 90.00 105.28 90.00
With the nearest neighbours (Å) after each atom.
Space group P2_1/m (No. 11)
One atom of each set of equivalent atoms:
La  0.2016  0.2500  0.2419 (multiplicity 2)  7 As 3.02-3.19
Hf  0.3276  0.7500  0.8524 (multiplicity 2)  6 As 2.71-2.83
Zn  0.0927  0.2500  0.5931 (multiplicity 2)  4 As 2.50-2.70, 2 Zn 2.77
As  0.0978  0.2500  0.8728 (multiplicity 2)  1 Zn 2.50, 2 Hf 2.76
As  0.2524  0.7500  0.5260 (multiplicity 2)  3 Zn 2.53-2.70, 1 Hf 2.83
As  0.4486  0.7500  0.1646 (multiplicity 2)  3 Hf 2.71-2.72, 2 La 3.02

Entry 4:
Here is Pm2HfAs3 after structural relaxation from Alexandria via LeMat-Bulk. Energies are from PBE.

Results
Its density of states at the Fermi level is 4.5 states/eV per cell. Its volume is 145.9 Å³/f.u. The formation energy comes out at -7.6 eV per formula unit. As for the total DFT energy (no corrections): -6.84 eV/atom.

a b c (Å): 4.1095 4.1095 17.2746
angles (deg): 90.00 90.00 90.00
With the nearest neighbours (Å) after each atom.
Space group I4/mmm (No. 139)
One atom of each set of equivalent atoms:
Pm  0.0000  0.0000  0.1672 (multiplicity 4)  6 As 2.89-3.01
Hf  0.0000  0.0000  0.5000 (multiplicity 2)  6 As 2.73-2.91
As  0.0000  0.0000  0.0000 (multiplicity 2)  2 Pm 2.89, 4 Hf 2.91
As  0.0000  0.0000  0.3417 (multiplicity 4)  1 Hf 2.73, 5 Pm 2.91-3.01

Entry 5:
Here is Pu2UMn2C4 after structural relaxation from Alexandria via LeMat-Bulk. Energies are from PBE.

Results
Its density of states at the Fermi level is 26.8 states/eV per cell. Its volume is 112.3 Å³/f.u. The formation energy comes out at -0.6 eV per formula unit. As for the total DFT energy (no corrections): -10.64 eV/atom.

a b c (Å): 13.4595 3.3526 5.4067
angles (deg): 90.00 112.95 90.00
With the nearest neighbours (Å) after each atom.
Space group C2/m (No. 12)
One atom of each set of equivalent atoms:
Pu  0.1371  0.0000  0.0131 (multiplicity 4)  7 C 2.41-2.59, 1 U 2.67
U  0.0000  0.0000  0.5000 (multiplicity 2)  6 C 2.62-2.81, 2 Pu 2.67, 4 Mn 2.91
Mn  0.1759  0.5000  0.4935 (multiplicity 4)  4 C 1.99-2.18
C  0.0215  0.5000  0.1507 (multiplicity 4)  1 C 1.50
C  0.2269  0.0000  0.7042 (multiplicity 4)  3 Mn 1.99

Entry 6:
Here is Tc7Ni6 after structural relaxation from Alexandria via LeMat-Bulk. Energies are from PBE.

Results
Its density of states at the Fermi level is 53.2 states/eV per cell. Its volume is 183.2 Å³/f.u. The formation energy comes out at 4.8 eV per formula unit. As for the total DFT energy (no corrections): -7.88 eV/atom.

a b c (Å): 4.9896 4.9896 25.4975
angles (deg): 90.00 90.00 120.00
With the nearest neighbours (Å) after each atom.
Space group R-3m (No. 166, hexagonal axes)
One atom of each set of equivalent atoms:
Tc  0.0000  0.0000  0.0000 (multiplicity 3)  6 Tc 2.54
Tc  0.0081  0.5041  0.4145 (multiplicity 18)  5 Tc 2.43-2.56, 4 Ni 2.55-2.68
Ni  0.0000  0.0000  0.1629 (multiplicity 6)  6 Tc 2.55-2.67
Ni  0.0000  0.0000  0.3517 (multiplicity 6)  1 Ni 2.59, 3 Tc 2.90
Ni  0.0000  0.0000  0.4533 (multiplicity 6)  2 Ni 2.38-2.59

Entry 7:
Here is ZrSi2Te6 after structural relaxation from Alexandria via LeMat-Bulk. Energies are from PBE.

Results
Its density of states at the Fermi level is 23.5 states/eV per cell. Its volume is 300.3 Å³/f.u. As for the total DFT energy (no corrections): -4.43 eV/atom. The formation energy without anion corrections is -155 kJ/mol of formula units.

a b c (Å): 6.8929 6.8929 21.8983
angles (deg): 90.00 90.00 120.00
With the nearest neighbours (Å) after each atom.
Space group R3 (No. 146, hexagonal axes)
One atom of each set of equivalent atoms:
Zr  0.0000  0.0000  0.0000 (multiplicity 3)  6 Te 2.92-2.93
Si  0.0000  0.0000  0.2814 (multiplicity 3)  1 Si 2.35, 3 Te 2.53
Si  0.0000  0.0000  0.3887 (multiplicity 3)  1 Si 2.35, 3 Te 2.54
Te  0.0205  0.6795  0.5793 (multiplicity 9)  1 Si 2.53
Te  0.0237  0.3426  0.7555 (multiplicity 9)  1 Si 2.54

Entry 8:
Here is Nb2SN after structural relaxation from Alexandria via LeMat-Bulk. Energies are from PBE.

Results
Its density of states at the Fermi level is 11.3 states/eV per cell. Its volume is 71.8 Å³/f.u. As for the total DFT energy (no corrections): -8.36 eV/atom. The formation energy without anion corrections is -84 kJ/mol of formula units.

a b c (Å): 3.6035 3.6035 19.1657
angles (deg): 90.00 90.00 120.00
With the nearest neighbours (Å) after each atom.
Space group R-3m (No. 166, hexagonal axes)
One atom of each set of equivalent atoms:
Nb  0.0000  0.0000  0.0991 (multiplicity 6)  1 N 1.90
S  0.0000  0.0000  0.5000 (multiplicity 3)  6 Nb 2.45
N  0.0000  0.0000  0.0000 (multiplicity 3)  2 Nb 1.90

Entry 9:
Here is ZrVCr2 after structural relaxation from Alexandria via LeMat-Bulk. Energies are from PBE.

Results
Its density of states at the Fermi level is 20.6 states/eV per cell. Its volume is 59.4 Å³/f.u. The formation energy comes out at 0.8 eV per formula unit. As for the total DFT energy (no corrections): -9.04 eV/atom.

a b c (Å): 6.1940 6.1940 6.1940
angles (deg): 90.00 90.00 90.00
With the nearest neighbours (Å) after each atom.
Space group Fm-3m (No. 225)
One atom of each set of equivalent atoms:
Zr  0.0000  0.0000  0.0000 (multiplicity 4)  8 Cr 2.68
V  0.0000  0.0000  0.5000 (multiplicity 4)  8 Cr 2.68
Cr  0.2500  0.2500  0.2500 (multiplicity 8)  4 V 2.68, 4 Zr 2.68

Entry 10:
Here is CaGaB after structural relaxation from Alexandria via LeMat-Bulk. Energies are from PBE.

Results
Its density of states at the Fermi level is 5.6 states/eV per cell. Its volume is 57.6 Å³/f.u. The formation energy comes out at 0.4 eV per formula unit. As for the total DFT energy (no corrections): -3.77 eV/atom.

a b c (Å): 5.9726 3.6527 10.5588
angles (deg): 90.00 90.00 90.00
With the nearest neighbours (Å) after each atom.
Space group Pnma (No. 62)
One atom of each set of equivalent atoms:
Ca  0.1560  0.2500  0.1593 (multiplicity 4)  4 B 2.88-2.96, 5 Ga 3.02-3.19
Ga  0.1561  0.2500  0.4458 (multiplicity 4)  3 B 2.15-2.25
B  0.0259  0.7500  0.3673 (multiplicity 4)  3 Ga 2.15-2.25

Entry 11:
Here is Sr2LiInCl after structural relaxation from Alexandria via LeMat-Bulk. Energies are from PBE.

Results
Its density of states at the Fermi level is 2.2 states/eV per cell. Its volume is 156.5 Å³/f.u. As for the total DFT energy (no corrections): -2.80 eV/atom. The formation energy without anion corrections is -398 kJ/mol of formula units.

a b c (Å): 5.8887 5.8887 4.5132
angles (deg): 90.00 90.00 90.00
With the nearest neighbours (Å) after each atom.
Space group P4/mmm (No. 123)
One atom of each set of equivalent atoms:
Sr  0.0000  0.5000  0.0000 (multiplicity 2)  2 Cl 2.94
Li  0.0000  0.0000  0.5000 (multiplicity 1)  2 Cl 2.26
In  0.5000  0.5000  0.5000 (multiplicity 1)  8 Sr 3.71
Cl  0.0000  0.0000  0.0000 (multiplicity 1)  2 Li 2.26

Entry 12:
Here is Tb12CeEr3 after structural relaxation from Alexandria via LeMat-Bulk. Energies are from PBE.

Results
Its density of states at the Fermi level is 23.1 states/eV per cell. Its volume is 505.5 Å³/f.u. The formation energy comes out at 0.5 eV per formula unit. As for the total DFT energy (no corrections): -4.67 eV/atom.

a b c (Å): 5.0186 5.0186 20.0720
angles (deg): 90.00 90.00 90.00
With the nearest neighbours (Å) after each atom.
Space group P4/mmm (No. 123)
One atom of each set of equivalent atoms:
Tb  0.0000  0.0000  0.0000 (multiplicity 1)  4 Er 3.55, 8 Tb 3.55
Tb  0.0000  0.0000  0.2483 (multiplicity 2)  8 Tb 3.52-3.58, 4 Er 3.55
Tb  0.0000  0.0000  0.5000 (multiplicity 1)  8 Tb 3.54, 4 Ce 3.55
Tb  0.0000  0.5000  0.1251 (multiplicity 4)  8 Tb 3.52-3.55, 4 Er 3.55
Tb  0.0000  0.5000  0.3754 (multiplicity 4)  8 Tb 3.54-3.58, 2 Ce 3.54, 2 Er 3.55
Ce  0.5000  0.5000  0.5000 (multiplicity 1)  12 Tb 3.54-3.55
Er  0.5000  0.5000  0.0000 (multiplicity 1)  12 Tb 3.55
Er  0.5000  0.5000  0.2504 (multiplicity 2)  12 Tb 3.55